Record 1
# AsIN2F

An optimized crystal structure of AsIN2F (GGA-PBE, Alexandria via LeMat-Bulk).

E_form (uncorrected) = 1.052 eV per atom
Crystal system = tetragonal

Cell: 3.6728 3.6728 7.1507 Å, 90.00 90.00 90.00°
With the nearest neighbours (Å) after each atom.
Fractional coordinates of all 5 atoms:
I: 0.0000 0.0000 0.5000  4 F 2.60
As: 0.0000 0.0000 0.0000  4 N 1.84
N: 0.0000 0.5000 0.0000  2 As 1.84
N: 0.5000 0.0000 0.0000  2 As 1.84
F: 0.5000 0.5000 0.5000  4 I 2.60

Record 2
# AsIN2F

An optimized crystal structure of AsIN2F (GGA-PBE, Alexandria via LeMat-Bulk).

E_form (uncorrected) = 2.157 eV per atom
Crystal system = tetragonal

Cell: 4.7107 4.7107 4.4255 Å, 90.00 90.00 90.00°
With the nearest neighbours (Å) after each atom.
Fractional coordinates of all 5 atoms:
I: 0.0000 0.0000 0.5000  2 F 2.21
As: 0.5000 0.5000 0.5000  8 N 3.23, 4 I 3.33
N: 0.0000 0.5000 0.0000  2 F 2.36
N: 0.5000 0.0000 0.0000  2 F 2.36
F: 0.0000 0.0000 0.0000  2 I 2.21, 4 N 2.36

Record 3
# AsIN2F

An optimized crystal structure of AsIN2F (GGA-PBE, Alexandria via LeMat-Bulk).

E_form (uncorrected) = 0.916 eV per atom
Crystal system = tetragonal

Cell: 4.1111 4.1111 4.0064 Å, 90.00 90.00 90.00°
With the nearest neighbours (Å) after each atom.
Fractional coordinates of all 5 atoms:
I: 0.5000 0.5000 0.5000  8 N 2.87, 4 F 2.91
As: 0.0000 0.0000 0.0000  2 F 2.00, 4 N 2.06
N: 0.0000 0.5000 0.0000  2 As 2.06
N: 0.5000 0.0000 0.0000  2 As 2.06
F: 0.0000 0.0000 0.5000  2 As 2.00

Record 4
# AsIN2F

An optimized crystal structure of AsIN2F (GGA-PBE, Alexandria via LeMat-Bulk).

E_form (uncorrected) = 1.529 eV per atom
Crystal system = tetragonal

Cell: 4.2014 4.2014 4.3291 Å, 90.00 90.00 90.00°
With the nearest neighbours (Å) after each atom.
Fractional coordinates of all 5 atoms:
I: 0.0000 0.0000 0.0000  4 N 2.10, 2 F 2.16
As: 0.5000 0.5000 0.5000  4 F 2.97, 8 N 3.02
N: 0.0000 0.5000 0.0000  2 I 2.10
N: 0.5000 0.0000 0.0000  2 I 2.10
F: 0.0000 0.0000 0.5000  2 I 2.16